Record 1
The following is a DFT calculation (PBE) of crystalline Pm4Sm3Er8 at its relaxed geometry.

For the formation energy, the calculation gives 0.130 eV/atom. The density of states at the Fermi level comes out at 1.495 states/eV per atom. As for the total DFT energy (no corrections): -4.514 eV per atom.

Geometry as CIF:
```
data_Pm4Sm3Er8
_space_group_name_H-M_alt 'P 1'
_space_group_IT_number 1
_cell_length_a 6.959
_cell_length_b 6.959
_cell_length_c 12.453
_cell_angle_alpha 73.77
_cell_angle_beta 73.77
_cell_angle_gamma 60.00
loop_
_space_group_symop_operation_xyz
'x,y,z'
loop_
_atom_site_label
_atom_site_fract_x
_atom_site_fract_y
_atom_site_fract_z
Pm1 0.000 0.000 0.000
Er1 0.750 0.750 0.251
Sm1 0.500 0.000 0.500
Er2 0.249 0.750 0.251
Pm2 0.336 0.336 0.991
Pm3 0.500 0.500 0.500
Sm2 0.000 0.500 0.500
Er3 0.755 0.755 0.736
Sm3 0.000 0.000 0.500
Er4 0.751 0.250 0.749
Er5 0.250 0.250 0.749
Er6 0.250 0.751 0.749
Er7 0.750 0.249 0.251
Er8 0.245 0.245 0.264
Pm4 0.664 0.664 0.009
```


Record 2
The following is a DFT calculation (PBE) of crystalline Rb2MnSbAu at its relaxed geometry.

The density of states at the Fermi level comes out at 1.203 states/eV per atom. As for the uncorrected formation energy: 0.2537 eV per atom. As for the total DFT energy (no corrections): -3.447 eV per atom.

Geometry as CIF:
```
data_Rb2MnSbAu
_space_group_name_H-M_alt 'P 1'
_space_group_IT_number 1
_cell_length_a 6.872
_cell_length_b 4.907
_cell_length_c 6.872
_cell_angle_alpha 90.00
_cell_angle_beta 90.00
_cell_angle_gamma 90.00
loop_
_space_group_symop_operation_xyz
'x,y,z'
loop_
_atom_site_label
_atom_site_fract_x
_atom_site_fract_y
_atom_site_fract_z
Sb1 0.000 0.500 0.000
Rb1 0.500 0.000 0.000
Au1 0.500 0.500 0.500
Mn1 0.000 0.000 0.000
Rb2 0.000 0.000 0.500
```


Record 3
The following is a DFT calculation (PBE) of crystalline LiZr2Sn2 at its relaxed geometry.

For the formation energy, the calculation gives -0.348 eV/atom. The density of states at the Fermi level comes out at 0.413 states/eV per atom. As for the total DFT energy (no corrections): -5.751 eV per atom.

Geometry as CIF:
```
data_LiZr2Sn2
_space_group_name_H-M_alt 'P 1'
_space_group_IT_number 1
_cell_length_a 7.225
_cell_length_b 7.225
_cell_length_c 4.247
_cell_angle_alpha 90.00
_cell_angle_beta 90.00
_cell_angle_gamma 90.00
loop_
_space_group_symop_operation_xyz
'x,y,z'
loop_
_atom_site_label
_atom_site_fract_x
_atom_site_fract_y
_atom_site_fract_z
Li1 0.500 0.500 0.000
Sn1 0.139 0.361 0.000
Li2 0.000 0.000 0.000
Zr1 0.670 0.830 0.500
Zr2 0.330 0.170 0.500
Sn2 0.361 0.861 0.000
Sn3 0.639 0.139 0.000
Zr3 0.830 0.330 0.500
Sn4 0.861 0.639 0.000
Zr4 0.170 0.670 0.500
```